# ErLuBeNi

A relaxed structure of ErLuBeNi (GGA-PBE, Alexandria).

Calculated values
ΔH_f (0 K): -0.755 eV/f.u.
D(E_F): 0.684 states/eV/atom

a b c (Å): 4.720 4.720 4.720
angles (deg): 60.00 60.00 60.00
Element x y z (fractional)
Er: 0.000 0.000 0.000
Lu: 0.500 0.500 0.500
Be: 0.750 0.750 0.750
Ni: 0.250 0.250 0.250